Record 1
VASP calculation (meta-GGA SCAN) on a PBEsol-optimized structure of AsPd2F.

Computed properties:
VASP energy (eV per atom): -23.0144
DOS at the Fermi energy (states/eV per atom): 0.35
Raw formation energy (eV per atom): -0.6946
Crystal system: cubic

Structure (CIF):
```
data_AsPd2F
_chemical_formula_sum 'As1 Pd2 F1'
_cell_length_a 4.225
_cell_length_b 4.225
_cell_length_c 4.225
_cell_angle_alpha 60.00
_cell_angle_beta 60.00
_cell_angle_gamma 60.00
_space_group_name_H-M_alt 'P 1'
_space_group_IT_number 1
loop_
_space_group_symop_operation_xyz
'x,y,z'
loop_
_atom_site_label
_atom_site_type_symbol
_atom_site_fract_x
_atom_site_fract_y
_atom_site_fract_z
F1 F 0.000 0.000 0.000
Pd1 Pd 0.250 0.250 0.250
As1 As 0.500 0.500 0.500
Pd2 Pd 0.750 0.750 0.750
```

Record 2
VASP calculation (meta-GGA SCAN) on a PBEsol-optimized structure of RbAsF2.

Computed properties:
VASP energy (eV per atom): -13.1050
DOS at the Fermi energy (states/eV per atom): 1.09
Raw formation energy (eV per atom): -1.1026
Crystal system: cubic

Structure (CIF):
```
data_RbAsF2
_chemical_formula_sum 'Rb1 As1 F2'
_cell_length_a 4.638
_cell_length_b 4.638
_cell_length_c 4.638
_cell_angle_alpha 60.00
_cell_angle_beta 60.00
_cell_angle_gamma 60.00
_space_group_name_H-M_alt 'P 1'
_space_group_IT_number 1
loop_
_space_group_symop_operation_xyz
'x,y,z'
loop_
_atom_site_label
_atom_site_type_symbol
_atom_site_fract_x
_atom_site_fract_y
_atom_site_fract_z
As1 As 0.000 0.000 0.000
F1 F 0.750 0.750 0.750
Rb1 Rb 0.500 0.500 0.500
F2 F 0.250 0.250 0.250
```

Record 3
VASP calculation (meta-GGA SCAN) on a PBEsol-optimized structure of RbAs3F.

Computed properties:
VASP energy (eV per atom): -15.6171
DOS at the Fermi energy (states/eV per atom): 2.32
Raw formation energy (eV per atom): 1.3532
Crystal system: cubic

Structure (CIF):
```
data_RbAs3F
_chemical_formula_sum 'Rb1 As3 F1'
_cell_length_a 6.951
_cell_length_b 6.951
_cell_length_c 6.951
_cell_angle_alpha 90.00
_cell_angle_beta 90.00
_cell_angle_gamma 90.00
_space_group_name_H-M_alt 'P 1'
_space_group_IT_number 1
loop_
_space_group_symop_operation_xyz
'x,y,z'
loop_
_atom_site_label
_atom_site_type_symbol
_atom_site_fract_x
_atom_site_fract_y
_atom_site_fract_z
As1 As 0.000 0.000 0.500
As2 As 0.000 0.500 0.000
As3 As 0.500 0.000 0.000
Rb1 Rb 0.000 0.000 0.000
F1 F 0.500 0.500 0.500
```

Record 4
VASP calculation (meta-GGA SCAN) on a PBEsol-optimized structure of RbAsF6.

Computed properties:
VASP energy (eV per atom): -10.3466
DOS at the Fermi energy (states/eV per atom): 0.00
Raw formation energy (eV per atom): -2.5753
Crystal system: trigonal

Structure (CIF):
```
data_RbAsF6
_chemical_formula_sum 'Rb1 As1 F6'
_cell_length_a 5.010
_cell_length_b 5.010
_cell_length_c 5.010
_cell_angle_alpha 97.39
_cell_angle_beta 97.39
_cell_angle_gamma 97.39
_space_group_name_H-M_alt 'P 1'
_space_group_IT_number 1
loop_
_space_group_symop_operation_xyz
'x,y,z'
loop_
_atom_site_label
_atom_site_type_symbol
_atom_site_fract_x
_atom_site_fract_y
_atom_site_fract_z
F1 F 0.921 0.274 0.218
Rb1 Rb 0.500 0.500 0.500
F2 F 0.274 0.218 0.921
F3 F 0.079 0.726 0.782
F4 F 0.782 0.079 0.726
F5 F 0.218 0.921 0.274
F6 F 0.726 0.782 0.079
As1 As 0.000 0.000 0.000
```

Record 5
VASP calculation (meta-GGA SCAN) on a PBEsol-optimized structure of Rb2TlAsF6.

Computed properties:
VASP energy (eV per atom): -17.9067
DOS at the Fermi energy (states/eV per atom): 0.00
Raw formation energy (eV per atom): -2.3799
Crystal system: cubic

Structure (CIF):
```
data_Rb2TlAsF6
_chemical_formula_sum 'Rb2 Tl1 As1 F6'
_cell_length_a 6.541
_cell_length_b 6.541
_cell_length_c 6.541
_cell_angle_alpha 60.00
_cell_angle_beta 60.00
_cell_angle_gamma 60.00
_space_group_name_H-M_alt 'P 1'
_space_group_IT_number 1
loop_
_space_group_symop_operation_xyz
'x,y,z'
loop_
_atom_site_label
_atom_site_type_symbol
_atom_site_fract_x
_atom_site_fract_y
_atom_site_fract_z
F1 F 0.279 0.279 0.721
Rb1 Rb 0.750 0.750 0.750
F2 F 0.721 0.721 0.279
F3 F 0.279 0.721 0.721
F4 F 0.721 0.279 0.279
Tl1 Tl 0.000 0.000 0.000
As1 As 0.500 0.500 0.500
F5 F 0.279 0.721 0.279
F6 F 0.721 0.279 0.721
Rb2 Rb 0.250 0.250 0.250
```

Record 6
VASP calculation (meta-GGA SCAN) on a PBEsol-optimized structure of ReAsF3.

Computed properties:
VASP energy (eV per atom): -20.8159
DOS at the Fermi energy (states/eV per atom): 0.43
Raw formation energy (eV per atom): -0.4343
Crystal system: cubic

Structure (CIF):
```
data_ReAsF3
_chemical_formula_sum 'Re1 As1 F3'
_cell_length_a 4.152
_cell_length_b 4.152
_cell_length_c 4.152
_cell_angle_alpha 90.00
_cell_angle_beta 90.00
_cell_angle_gamma 90.00
_space_group_name_H-M_alt 'P 1'
_space_group_IT_number 1
loop_
_space_group_symop_operation_xyz
'x,y,z'
loop_
_atom_site_label
_atom_site_type_symbol
_atom_site_fract_x
_atom_site_fract_y
_atom_site_fract_z
Re1 Re 0.000 0.000 0.000
F1 F 0.000 0.500 0.000
As1 As 0.500 0.500 0.500
F2 F 0.500 0.000 0.000
F3 F 0.000 0.000 0.500
```

Record 7
VASP calculation (meta-GGA SCAN) on a PBEsol-optimized structure of ReAsF2.

Computed properties:
VASP energy (eV per atom): -25.4629
DOS at the Fermi energy (states/eV per atom): 0.47
Raw formation energy (eV per atom): -0.8708
Crystal system: trigonal

Structure (CIF):
```
data_ReAsF2
_chemical_formula_sum 'Re1 As1 F2'
_cell_length_a 2.697
_cell_length_b 2.697
_cell_length_c 9.499
_cell_angle_alpha 81.84
_cell_angle_beta 81.84
_cell_angle_gamma 60.00
_space_group_name_H-M_alt 'P 1'
_space_group_IT_number 1
loop_
_space_group_symop_operation_xyz
'x,y,z'
loop_
_atom_site_label
_atom_site_type_symbol
_atom_site_fract_x
_atom_site_fract_y
_atom_site_fract_z
F1 F 0.933 0.933 0.202
Re1 Re 0.000 0.000 0.000
As1 As 0.500 0.500 0.500
F2 F 0.067 0.067 0.798
```

Record 8
VASP calculation (meta-GGA SCAN) on a PBEsol-optimized structure of ReAs2SeF.

Computed properties:
VASP energy (eV per atom): -26.7410
DOS at the Fermi energy (states/eV per atom): 0.70
Raw formation energy (eV per atom): 0.2784
Crystal system: tetragonal

Structure (CIF):
```
data_ReAs2SeF
_chemical_formula_sum 'Re1 As2 Se1 F1'
_cell_length_a 4.744
_cell_length_b 4.754
_cell_length_c 4.754
_cell_angle_alpha 90.00
_cell_angle_beta 90.00
_cell_angle_gamma 90.00
_space_group_name_H-M_alt 'P 1'
_space_group_IT_number 1
loop_
_space_group_symop_operation_xyz
'x,y,z'
loop_
_atom_site_label
_atom_site_type_symbol
_atom_site_fract_x
_atom_site_fract_y
_atom_site_fract_z
Re1 Re 0.000 0.000 0.000
As1 As 0.000 0.500 0.000
As2 As 0.000 0.000 0.500
F1 F 0.500 0.500 0.500
Se1 Se 0.500 0.000 0.000
```

Record 9
VASP calculation (meta-GGA SCAN) on a PBEsol-optimized structure of Sr2AsRhF.

Computed properties:
VASP energy (eV per atom): -21.6847
DOS at the Fermi energy (states/eV per atom): 0.21
Raw formation energy (eV per atom): -1.2741
Crystal system: tetragonal

Structure (CIF):
```
data_Sr2AsRhF
_chemical_formula_sum 'Sr2 As1 Rh1 F1'
_cell_length_a 4.494
_cell_length_b 5.720
_cell_length_c 5.720
_cell_angle_alpha 90.00
_cell_angle_beta 90.00
_cell_angle_gamma 90.00
_space_group_name_H-M_alt 'P 1'
_space_group_IT_number 1
loop_
_space_group_symop_operation_xyz
'x,y,z'
loop_
_atom_site_label
_atom_site_type_symbol
_atom_site_fract_x
_atom_site_fract_y
_atom_site_fract_z
Sr1 Sr 0.000 0.000 0.500
Sr2 Sr 0.000 0.500 0.000
As1 As 0.500 0.000 0.000
F1 F 0.500 0.500 0.500
Rh1 Rh 0.000 0.000 0.000
```

Record 10
VASP calculation (meta-GGA SCAN) on a PBEsol-optimized structure of AsRu3F.

Computed properties:
VASP energy (eV per atom): -24.5691
DOS at the Fermi energy (states/eV per atom): 0.88
Raw formation energy (eV per atom): 1.0728
Crystal system: cubic

Structure (CIF):
```
data_AsRu3F
_chemical_formula_sum 'As1 Ru3 F1'
_cell_length_a 4.528
_cell_length_b 4.528
_cell_length_c 4.528
_cell_angle_alpha 90.00
_cell_angle_beta 90.00
_cell_angle_gamma 90.00
_space_group_name_H-M_alt 'P 1'
_space_group_IT_number 1
loop_
_space_group_symop_operation_xyz
'x,y,z'
loop_
_atom_site_label
_atom_site_type_symbol
_atom_site_fract_x
_atom_site_fract_y
_atom_site_fract_z
As1 As 0.000 0.000 0.000
F1 F 0.500 0.500 0.500
Ru1 Ru 0.000 0.500 0.000
Ru2 Ru 0.000 0.000 0.500
Ru3 Ru 0.500 0.000 0.000
```

Record 11
VASP calculation (meta-GGA SCAN) on a PBEsol-optimized structure of AsRuSe2F.

Computed properties:
VASP energy (eV per atom): -19.4197
DOS at the Fermi energy (states/eV per atom): 1.19
Raw formation energy (eV per atom): 0.3231
Crystal system: tetragonal

Structure (CIF):
```
data_AsRuSe2F
_chemical_formula_sum 'As1 Ru1 Se2 F1'
_cell_length_a 4.701
_cell_length_b 4.749
_cell_length_c 4.749
_cell_angle_alpha 90.00
_cell_angle_beta 90.00
_cell_angle_gamma 90.00
_space_group_name_H-M_alt 'P 1'
_space_group_IT_number 1
loop_
_space_group_symop_operation_xyz
'x,y,z'
loop_
_atom_site_label
_atom_site_type_symbol
_atom_site_fract_x
_atom_site_fract_y
_atom_site_fract_z
Ru1 Ru 0.000 0.000 0.000
As1 As 0.500 0.000 0.000
Se1 Se 0.000 0.500 0.000
F1 F 0.500 0.500 0.500
Se2 Se 0.000 0.000 0.500
```